Below is a relaxed RbCoNO2 crystal, with properties calculated at the PBE+U level.

Lattice parameters (Å, degrees): 3.962 3.962 4.141 90.00 90.00 90.00
Space group P4/mmm (No. 123)
Unique sites:
Rb 0.000 0.000 0.000 (multiplicity 1)
Co 0.500 0.500 0.500 (multiplicity 1)
N 0.500 0.500 0.000 (multiplicity 1)
O 0.000 0.500 0.500 (multiplicity 2)

Size of the total moment ... 0.9 μB/cell
Energy ... -23.51 eV per cell